Record 1
A geometry-optimized BeGaC3 structure. Source: the Alexandria database, functional PBE.

Cell: 3.6491 3.6491 3.6491 Å, 90.00 90.00 90.00°
Closest atoms and distances in Å follow each position.
Fractional positions:
C1 0.0000 0.5000 0.0000  2 Be 1.82
C2 0.5000 0.0000 0.0000  2 Be 1.82
C3 0.0000 0.0000 0.5000  2 Be 1.82
Ga1 0.5000 0.5000 0.5000  12 C 2.58
Be1 0.0000 0.0000 0.0000  6 C 1.82

Results
* N(E_F): 2.10 states/eV/f.u.
* ΔH_f (0 K): 2.29 eV per atom
* raw total energy: -4.590 eV/atom
* SG: Pm-3m (221)
* E above lowest polymorph: 0 meV per atom

Record 2
A geometry-optimized TbZr2Sc3N6 structure. Source: the Alexandria database, functional PBE.

Cell: 3.2689 6.5400 7.2969 Å, 102.66 102.94 90.00°
Closest atoms and distances in Å follow each position.
Fractional positions:
Zr1 0.8328 0.6646 0.6656  6 N 2.29-2.31
Zr2 0.1672 0.3354 0.3344  6 N 2.29-2.31
Sc1 0.1676 0.8329 0.3351  6 N 2.22-2.35
Sc2 0.5000 0.5000 0.0000  6 N 2.25-2.32
Sc3 0.8324 0.1671 0.6649  6 N 2.22-2.35
N1 0.6720 0.0889 0.3441  3 Sc 2.22-2.33, 2 Zr 2.31, 1 Tb 2.38
N2 0.3325 0.4158 0.6650  3 Zr 2.29-2.31, 3 Sc 2.31-2.32
N3 0.0021 0.2647 0.0041  3 Sc 2.25-2.35, 1 Zr 2.29, 2 Tb 2.38
N4 0.6675 0.5842 0.3350  3 Zr 2.29-2.31, 3 Sc 2.31-2.32
N5 0.9979 0.7353 0.9959  3 Sc 2.25-2.35, 1 Zr 2.29, 2 Tb 2.38
N6 0.3280 0.9111 0.6559  3 Sc 2.22-2.33, 2 Zr 2.31, 1 Tb 2.38
Tb1 0.5000 0.0000 0.0000  6 N 2.38

Results
* N(E_F): 3.05 states/eV/f.u.
* raw total energy: -9.359 eV/atom
* E_form (uncorrected): -1.8033 eV per atom
* SG: C2/m (12)

Record 3
A geometry-optimized Tb2SbPd structure. Source: the Alexandria database, functional PBE.

Cell: 4.3234 6.1365 8.3013 Å, 111.96 90.00 90.00°
Closest atoms and distances in Å follow each position.
Fractional positions:
Tb1 0.2500 0.7939 0.5568  3 Pd 2.96-3.07, 3 Sb 3.18-3.25
Tb2 0.7500 0.2261 0.9085  2 Pd 2.96, 4 Sb 3.14-3.25
Tb3 0.7500 0.2061 0.4432  3 Pd 2.96-3.07, 3 Sb 3.18-3.25
Tb4 0.2500 0.7739 0.0915  2 Pd 2.96, 4 Sb 3.14-3.25
Pd1 0.7500 0.6671 0.2941  2 Sb 2.92, 5 Tb 2.96-3.07
Pd2 0.2500 0.3329 0.7059  2 Sb 2.92, 5 Tb 2.96-3.07
Sb1 0.2500 0.3223 0.2060  2 Pd 2.92, 7 Tb 3.14-3.25
Sb2 0.7500 0.6777 0.7940  2 Pd 2.92, 7 Tb 3.14-3.25

Results
* N(E_F): 3.13 states/eV/f.u.
* raw total energy: -5.603 eV/atom
* E_form (uncorrected): -0.9595 eV per atom
* SG: P2_1/m (11)
* E above lowest polymorph: 0 meV per atom

Record 4
A geometry-optimized Li2ThCd9 structure. Source: the Alexandria database, functional PBE.

Cell: 4.5627 4.5627 13.0456 Å, 90.00 90.00 90.00°
Closest atoms and distances in Å follow each position.
Fractional positions:
Th1 0.0000 0.0000 0.0000  12 Cd 3.23-3.34
Cd1 0.5000 0.5000 0.6530  8 Cd 3.03-3.09, 4 Li 3.23
Cd2 0.0000 0.5000 0.1875  2 Li 3.04, 8 Cd 3.09-3.34, 2 Th 3.34
Cd3 0.5000 0.0000 0.8125  2 Li 3.04, 8 Cd 3.09-3.34, 2 Th 3.34
Cd4 0.5000 0.0000 0.5000  8 Cd 3.03-3.23, 4 Li 3.08
Cd5 0.0000 0.5000 0.5000  8 Cd 3.03-3.23, 4 Li 3.08
Cd6 0.5000 0.0000 0.1875  2 Li 3.04, 8 Cd 3.09-3.34, 2 Th 3.34
Cd7 0.5000 0.5000 0.3470  8 Cd 3.03-3.09, 4 Li 3.23
Cd8 0.5000 0.5000 0.0000  4 Th 3.23, 8 Cd 3.34
Cd9 0.0000 0.5000 0.8125  2 Li 3.04, 8 Cd 3.09-3.34, 2 Th 3.34
Li1 0.0000 0.0000 0.3412  12 Cd 3.04-3.23
Li2 0.0000 0.0000 0.6588  12 Cd 3.04-3.23

Results
* N(E_F): 6.23 states/eV/f.u.
* ΔH_f (0 K): -0.13 eV per atom
* raw total energy: -1.757 eV/atom
* SG: P4/mmm (123)

Record 5
A geometry-optimized ZnSb2P structure. Source: the Alexandria database, functional PBE.

Cell: 6.3111 6.3111 4.3998 Å, 71.32 71.32 34.56°
Closest atoms and distances in Å follow each position.
Fractional positions:
Sb1 0.0081 0.0081 0.9888  4 Zn 2.90-2.91, 1 P 2.91, 1 Sb 3.02
Sb2 0.7437 0.7437 0.3077  2 P 2.59
Zn1 0.4850 0.4850 0.5122  1 P 2.52
P1 0.2632 0.2632 0.6913  1 Zn 2.52, 2 Sb 2.59

Results
* N(E_F): 1.31 states/eV/f.u.
* raw total energy: -3.625 eV/atom
* E_form (uncorrected): 0.1074 eV per atom
* SG: Cm (8)
* E above lowest polymorph: 15 meV per atom

Record 6
A geometry-optimized Li2Sn2Rh structure. Source: the Alexandria database, functional PBE.

Cell: 6.6541 6.6541 3.8442 Å, 90.00 90.00 90.00°
Closest atoms and distances in Å follow each position.
Fractional positions:
Li1 0.1322 0.3678 0.0000  1 Li 2.49, 2 Rh 2.60, 2 Sn 2.64
Li2 0.6322 0.1322 0.0000  1 Li 2.49, 2 Rh 2.60, 2 Sn 2.64
Li3 0.3678 0.8678 0.0000  1 Li 2.49, 2 Rh 2.60, 2 Sn 2.64
Li4 0.8678 0.6322 0.0000  1 Li 2.49, 2 Rh 2.60, 2 Sn 2.64
Sn1 0.1761 0.6761 0.5000  6 Li 2.64-2.83
Sn2 0.3239 0.1761 0.5000  6 Li 2.64-2.83
Sn3 0.8239 0.3239 0.5000  6 Li 2.64-2.83
Sn4 0.6761 0.8239 0.5000  6 Li 2.64-2.83
Rh1 0.0000 0.0000 0.0000  4 Li 2.60
Rh2 0.5000 0.5000 0.0000  4 Li 2.60

Results
* N(E_F): 2.77 states/eV/f.u.
* ΔH_f (0 K): -0.14 eV per atom
* raw total energy: -3.978 eV/atom
* SG: P4/mbm (127)

Record 7
A geometry-optimized Na5Tl3Pb2 structure. Source: the Alexandria database, functional PBE.

Cell: 6.8016 9.5561 9.5561 Å, 107.59 92.23 92.23°
Closest atoms and distances in Å follow each position.
Fractional positions:
Pb1 0.8747 0.6282 0.1270  2 Pb 3.34-3.44, 6 Na 3.46-3.58, 3 Tl 3.53-3.62
Pb2 0.6253 0.8730 0.3718  2 Pb 3.34-3.44, 6 Na 3.46-3.58, 3 Tl 3.53-3.62
Pb3 0.1253 0.3718 0.8730  2 Pb 3.34-3.44, 6 Na 3.46-3.58, 3 Tl 3.53-3.62
Pb4 0.3747 0.1270 0.6282  2 Pb 3.34-3.44, 6 Na 3.46-3.58, 3 Tl 3.53-3.62
Tl1 0.3702 0.5208 0.2345  5 Na 3.11-3.42, 1 Tl 3.30
Tl2 0.1298 0.7655 0.4792  5 Na 3.11-3.42, 1 Tl 3.30
Tl3 0.7500 0.9526 0.0474  6 Na 3.22-3.46, 2 Pb 3.53
Tl4 0.2500 0.0474 0.9526  6 Na 3.22-3.46, 2 Pb 3.53
Tl5 0.6298 0.4792 0.7655  5 Na 3.11-3.42, 1 Tl 3.30
Tl6 0.8702 0.2345 0.5208  5 Na 3.11-3.42, 1 Tl 3.30
Na1 0.6071 0.2848 0.9731  3 Tl 3.11-3.33, 1 Na 3.29, 1 Pb 3.47
Na2 0.9993 0.2917 0.1889  4 Tl 3.20-3.51, 3 Na 3.29-3.53, 2 Pb 3.46-3.57
Na3 0.2500 0.4490 0.5510  4 Tl 3.18-3.42, 2 Na 3.48, 2 Pb 3.50
Na4 0.8929 0.0269 0.7152  3 Tl 3.11-3.33, 1 Na 3.29, 1 Pb 3.47
Na5 0.1071 0.9731 0.2848  3 Tl 3.11-3.33, 1 Na 3.29, 1 Pb 3.47
Na6 0.5007 0.8111 0.7083  4 Tl 3.20-3.51, 3 Na 3.29-3.53, 2 Pb 3.46-3.57
Na7 0.4993 0.1889 0.2917  4 Tl 3.20-3.51, 3 Na 3.29-3.53, 2 Pb 3.46-3.57
Na8 0.7500 0.5510 0.4490  4 Tl 3.18-3.42, 2 Na 3.48, 2 Pb 3.50
Na9 0.0007 0.7083 0.8111  4 Tl 3.20-3.51, 3 Na 3.29-3.53, 2 Pb 3.46-3.57
Na10 0.3929 0.7152 0.0269  3 Tl 3.11-3.33, 1 Na 3.29, 1 Pb 3.47

Results
* N(E_F): 4.77 states/eV/f.u.
* ΔH_f (0 K): -0.09 eV per atom
* raw total energy: -2.201 eV/atom
* SG: C2/c (15)

Record 8
A geometry-optimized Cs2ScNiCl6 structure. Source: the Alexandria database, functional PBE.

Cell: 7.5271 7.5271 7.2041 Å, 58.51 58.51 90.00°
Closest atoms and distances in Å follow each position.
Fractional positions:
Cl1 0.2639 0.2639 0.0000  1 Sc 2.51, 1 Ni 2.81
Cl2 0.2363 0.2363 0.5274  1 Ni 2.29, 1 Sc 2.56
Cl3 0.7637 0.7637 0.4726  1 Ni 2.29, 1 Sc 2.56
Cl4 0.7361 0.7361 0.0000  1 Sc 2.51, 1 Ni 2.81
Cl5 0.2639 0.7361 0.0000  1 Sc 2.51, 1 Ni 2.81
Cl6 0.7361 0.2639 0.0000  1 Sc 2.51, 1 Ni 2.81
Sc1 0.5000 0.5000 0.0000  6 Cl 2.51-2.56
Cs1 0.7500 0.2500 0.5000  12 Cl 3.61-3.77
Cs2 0.2500 0.7500 0.5000  12 Cl 3.61-3.77
Ni1 0.0000 0.0000 0.0000  2 Cl 2.29

Results
* N(E_F): 10.61 states/eV/f.u.
* raw total energy: -4.141 eV/atom
* E_form (uncorrected): -1.6513 eV per atom
* SG: I4/mmm (139)

Among the records above, which one has the highest N(E_F)? Cs2ScNiCl6

What did the fifth record say?
A geometry-optimized ZnSb2P structure. Source: the Alexandria database, functional PBE.

Cell: 6.3111 6.3111 4.3998 Å, 71.32 71.32 34.56°
Closest atoms and distances in Å follow each position.
Fractional positions:
Sb1 0.0081 0.0081 0.9888  4 Zn 2.90-2.91, 1 P 2.91, 1 Sb 3.02
Sb2 0.7437 0.7437 0.3077  2 P 2.59
Zn1 0.4850 0.4850 0.5122  1 P 2.52
P1 0.2632 0.2632 0.6913  1 Zn 2.52, 2 Sb 2.59

Results
* N(E_F): 1.31 states/eV/f.u.
* raw total energy: -3.625 eV/atom
* E_form (uncorrected): 0.1074 eV per atom
* SG: Cm (8)
* E above lowest polymorph: 15 meV per atom

What is the formula in the seventh record? Na5Tl3Pb2